[1]
A plane-wave DFT calculation with meta-GGA SCAN was carried out for a PBEsol-optimized structure of Na3NiBSO7.

Structure (POSCAR):
```
Na3NiBSO7
1.0
5.193 0.000 0.000
0.000 6.561 0.000
-0.204 0.000 8.887
Na Ni B S O
6 2 2 2 14
direct
0.240 0.005 0.252
0.240 0.495 0.252
0.248 0.250 0.563
0.752 0.750 0.437
0.760 0.505 0.748
0.760 0.995 0.748
0.235 0.750 0.837
0.765 0.250 0.163
0.269 0.750 0.567
0.731 0.250 0.433
0.286 0.250 0.918
0.714 0.750 0.082
0.035 0.750 0.641
0.141 0.250 0.059
0.218 0.069 0.823
0.218 0.431 0.823
0.291 0.750 0.416
0.431 0.750 0.046
0.480 0.750 0.668
0.520 0.250 0.332
0.569 0.250 0.954
0.709 0.250 0.584
0.782 0.569 0.177
0.782 0.931 0.177
0.859 0.750 0.941
0.965 0.250 0.359
```

Computed properties:
Symmetry = P2_1/m (11)
VASP energy = -230.4 eV for the cell shown
Formation energy from raw total energies = -1978 meV/atom
Crystal system = monoclinic



[2]
A plane-wave DFT calculation with meta-GGA SCAN was carried out for a PBEsol-optimized structure of Gd.

Structure (POSCAR):
```
Gd
1.0
1.770 1.022 8.481
-1.770 1.022 8.481
0.000 -2.044 8.481
Gd
3
direct
0.000 0.000 0.000
0.222 0.222 0.222
0.778 0.778 0.778
```

Computed properties:
Symmetry = R-3m (166)
VASP energy = -176.3 eV for the cell shown
Energy relative to the elements = 4 kJ/mol of formula units
Energy above the most stable polymorph in this dataset = 37 meV/atom
Crystal system = trigonal



[3]
A plane-wave DFT calculation with meta-GGA SCAN was carried out for a PBEsol-optimized structure of BaNbPBr2.

Structure (POSCAR):
```
BaNbPBr2
1.0
5.154 0.000 0.000
0.000 5.154 0.000
0.000 0.000 6.100
Ba Nb P Br
1 1 1 2
direct
0.000 0.000 0.000
0.500 0.500 0.000
0.000 0.000 0.500
0.000 0.500 0.500
0.500 0.000 0.500
```

Computed properties:
Symmetry = P4/mmm (123)
VASP energy = -119.3 eV for the cell shown
Formation energy from raw total energies = 532 meV/atom
Crystal system = tetragonal



[4]
A plane-wave DFT calculation with meta-GGA SCAN was carried out for a PBEsol-optimized structure of Li5SbS.

Structure (POSCAR):
```
Li5SbS
1.0
2.399 -8.236 0.000
2.399 8.236 0.000
-0.167 0.000 6.118
Li Sb S
10 2 2
direct
0.139 0.861 0.750
0.243 0.316 0.912
0.303 0.684 0.506
0.316 0.243 0.412
0.316 0.697 0.994
0.684 0.303 0.006
0.684 0.757 0.588
0.697 0.316 0.494
0.757 0.684 0.088
0.861 0.139 0.250
0.167 0.833 0.250
0.833 0.167 0.750
0.425 0.575 0.250
0.575 0.425 0.750
```

Computed properties:
Symmetry = C2/c (15)
VASP energy = -131.3 eV for the cell shown
Formation energy from raw total energies = -970 meV/atom
Energy above the most stable polymorph in this dataset = 17 meV/atom
Crystal system = monoclinic



[5]
A plane-wave DFT calculation with meta-GGA SCAN was carried out for a PBEsol-optimized structure of Rb2CdHg2.

Structure (POSCAR):
```
Rb2CdHg2
1.0
7.875 0.000 0.000
0.000 7.875 0.000
0.000 0.000 5.568
Rb Cd Hg
4 2 4
direct
0.176 0.324 0.000
0.324 0.824 0.000
0.676 0.176 0.000
0.824 0.676 0.000
0.000 0.000 0.500
0.500 0.500 0.500
0.135 0.635 0.500
0.365 0.135 0.500
0.635 0.865 0.500
0.865 0.365 0.500
```

Computed properties:
Symmetry = P4/mbm (127)
VASP energy = -418.5 eV for the cell shown
Energy relative to the elements = -101 kJ/mol of formula units
Energy above the most stable polymorph in this dataset = 0 meV/atom
Crystal system = tetragonal



[6]
A plane-wave DFT calculation with meta-GGA SCAN was carried out for a PBEsol-optimized structure of Mg2FeBr.

Structure (POSCAR):
```
Mg2FeBr
1.0
0.000 3.410 3.410
3.410 0.000 3.410
3.410 3.410 0.000
Mg Fe Br
2 1 1
direct
0.250 0.250 0.250
0.750 0.750 0.750
0.000 0.000 0.000
0.500 0.500 0.500
```

Computed properties:
Symmetry = Fm-3m (225)
VASP energy = -46.0 eV for the cell shown
Formation energy from raw total energies = 384 meV/atom
Energy above the most stable polymorph in this dataset = 474 meV/atom
Crystal system = cubic



[7]
A plane-wave DFT calculation with meta-GGA SCAN was carried out for a PBEsol-optimized structure of Ba3Te2O9.

Structure (POSCAR):
```
Ba3Te2O9
1.0
5.861 0.000 0.000
-2.931 5.076 0.000
0.000 0.000 14.340
Ba Te O
6 4 18
direct
0.333 0.667 0.061
0.333 0.667 0.439
0.333 0.667 0.750
0.667 0.333 0.250
0.667 0.333 0.561
0.667 0.333 0.939
0.000 0.000 0.149
0.000 0.000 0.351
0.000 0.000 0.649
0.000 0.000 0.851
0.144 0.288 0.250
0.144 0.856 0.250
0.166 0.331 0.591
0.166 0.331 0.909
0.166 0.834 0.591
0.166 0.834 0.909
0.288 0.144 0.750
0.331 0.166 0.091
0.331 0.166 0.409
0.669 0.834 0.591
0.669 0.834 0.909
0.712 0.856 0.250
0.834 0.166 0.091
0.834 0.166 0.409
0.834 0.669 0.091
0.834 0.669 0.409
0.856 0.144 0.750
0.856 0.712 0.750
```

Computed properties:
Symmetry = P6_3/mmc (194)
VASP energy = -559.0 eV for the cell shown
Formation energy from raw total energies = -2163 meV/atom
Crystal system = hexagonal



[8]
A plane-wave DFT calculation with meta-GGA SCAN was carried out for a PBEsol-optimized structure of BaGaN2.

Structure (POSCAR):
```
BaGaN2
1.0
1.673 0.966 6.594
-1.673 0.966 6.594
0.000 -1.932 6.594
Ba Ga N
1 1 2
direct
0.000 0.000 0.000
0.500 0.500 0.500
0.120 0.120 0.120
0.880 0.880 0.880
```

Computed properties:
Symmetry = R-3m (166)
VASP energy = -71.5 eV for the cell shown
Formation energy from raw total energies = 752 meV/atom
Crystal system = trigonal



[9]
A plane-wave DFT calculation with meta-GGA SCAN was carried out for a PBEsol-optimized structure of ZrZn2.

Structure (POSCAR):
```
ZrZn2
1.0
1.947 -4.727 0.000
1.947 4.727 0.000
0.000 0.000 5.363
Zr Zn
2 4
direct
0.198 0.802 0.750
0.802 0.198 0.250
0.102 0.898 0.250
0.500 0.500 0.000
0.500 0.500 0.500
0.898 0.102 0.750
```

Computed properties:
Symmetry = Cmcm (63)
VASP energy = -117.6 eV for the cell shown
Energy relative to the elements = -103 kJ/mol of formula units
Crystal system = orthorhombic



[10]
A plane-wave DFT calculation with meta-GGA SCAN was carried out for a PBEsol-optimized structure of MnPtAu2.

Structure (POSCAR):
```
MnPtAu2
1.0
3.333 0.000 0.000
0.000 3.333 0.000
0.000 0.000 5.674
Mn Pt Au
1 1 2
direct
0.000 0.000 0.000
0.500 0.500 0.224
0.000 0.000 0.486
0.500 0.500 0.746
```

Computed properties:
Symmetry = P4mm (99)
VASP energy = -228.2 eV for the cell shown
Energy relative to the elements = -140 kJ/mol of formula units
Crystal system = tetragonal



[11]
A plane-wave DFT calculation with meta-GGA SCAN was carried out for a PBEsol-optimized structure of ReAg.

Structure (POSCAR):
```
ReAg
1.0
1.451 -2.211 0.000
1.451 2.211 0.000
0.000 0.000 4.833
Re Ag
1 1
direct
0.000 0.000 0.000
0.500 0.500 0.500
```

Computed properties:
Symmetry = Cmmm (65)
VASP energy = -101.0 eV for the cell shown
Energy relative to the elements = 139 kJ/mol of formula units
Energy above the most stable polymorph in this dataset = 0 meV/atom
Crystal system = orthorhombic



[12]
A plane-wave DFT calculation with meta-GGA SCAN was carried out for a PBEsol-optimized structure of TaMn2Tc.

Structure (POSCAR):
```
TaMn2Tc
1.0
0.000 2.966 2.966
2.966 0.000 2.966
2.966 2.966 0.000
Ta Mn Tc
1 2 1
direct
0.000 0.000 0.000
0.250 0.250 0.250
0.750 0.750 0.750
0.500 0.500 0.500
```

Computed properties:
Symmetry = Fm-3m (225)
VASP energy = -138.1 eV for the cell shown
Energy relative to the elements = 9 kJ/mol of formula units
Energy above the most stable polymorph in this dataset = 53 meV/atom
Crystal system = cubic



[13]
A plane-wave DFT calculation with meta-GGA SCAN was carried out for a PBEsol-optimized structure of MgZn2GaC.

Structure (POSCAR):
```
MgZn2GaC
1.0
4.986 0.000 0.000
0.000 4.986 0.000
0.000 0.000 4.004
Mg Zn Ga C
1 2 1 1
direct
0.000 0.000 0.000
0.000 0.500 0.000
0.500 0.000 0.000
0.500 0.500 0.500
0.000 0.000 0.500
```

Computed properties:
Symmetry = P4/mmm (123)
VASP energy = -51.6 eV for the cell shown
Energy relative to the elements = 659 kJ/mol of formula units
Crystal system = tetragonal



[14]
A plane-wave DFT calculation with meta-GGA SCAN was carried out for a PBEsol-optimized structure of CaCuRu2.

Structure (POSCAR):
```
CaCuRu2
1.0
3.148 0.000 0.000
0.000 3.148 0.000
0.000 0.000 6.541
Ca Cu Ru
1 1 2
direct
0.000 0.000 0.000
0.000 0.000 0.500
0.500 0.500 0.314
0.500 0.500 0.686
```

Computed properties:
Symmetry = P4/mmm (123)
VASP energy = -92.5 eV for the cell shown
Energy relative to the elements = 197 kJ/mol of formula units
Crystal system = tetragonal



[15]
A plane-wave DFT calculation with meta-GGA SCAN was carried out for a PBEsol-optimized structure of Be4MoRh.

Structure (POSCAR):
```
Be4MoRh
1.0
0.000 3.084 3.084
3.084 0.000 3.084
3.084 3.084 0.000
Be Mo Rh
4 1 1
direct
0.378 0.378 0.378
0.378 0.378 0.867
0.378 0.867 0.378
0.867 0.378 0.378
0.750 0.750 0.750
0.000 0.000 0.000
```

Computed properties:
Symmetry = F-43m (216)
VASP energy = -88.1 eV for the cell shown
Energy relative to the elements = -196 kJ/mol of formula units
Crystal system = cubic



[16]
A plane-wave DFT calculation with meta-GGA SCAN was carried out for a PBEsol-optimized structure of LiZn2Sb.

Structure (POSCAR):
```
LiZn2Sb
1.0
1.573 0.908 8.906
-1.573 0.908 8.906
0.000 -1.816 8.906
Li Zn Sb
1 2 1
direct
0.000 0.000 0.000
0.257 0.257 0.257
0.743 0.743 0.743
0.500 0.500 0.500
```

Computed properties:
Symmetry = R-3m (166)
VASP energy = -66.2 eV for the cell shown
Formation energy from raw total energies = 127 meV/atom
Crystal system = trigonal



[17]
A plane-wave DFT calculation with meta-GGA SCAN was carried out for a PBEsol-optimized structure of TiInTeI2.

Structure (POSCAR):
```
TiInTeI2
1.0
5.562 0.000 0.000
0.000 5.562 0.000
0.000 0.000 5.315
Ti In Te I
1 1 1 2
direct
0.000 0.000 0.000
0.500 0.500 0.500
0.000 0.000 0.500
0.000 0.500 0.000
0.500 0.000 0.000
```

Computed properties:
Symmetry = P4/mmm (123)
VASP energy = -162.2 eV for the cell shown
Formation energy from raw total energies = -408 meV/atom
Crystal system = tetragonal



[18]
A plane-wave DFT calculation with meta-GGA SCAN was carried out for a PBEsol-optimized structure of KCrPt.

Structure (POSCAR):
```
KCrPt
1.0
-1.425 2.033 5.872
1.425 -2.033 5.872
1.425 2.033 -5.872
K Cr Pt
1 1 1
direct
0.000 0.000 0.000
0.270 0.270 0.000
0.719 0.719 0.000
```

Computed properties:
Symmetry = Imm2 (44)
VASP energy = -96.9 eV for the cell shown
Energy relative to the elements = 4 kJ/mol of formula units
Energy above the most stable polymorph in this dataset = 0 meV/atom
Crystal system = orthorhombic



[19]
A plane-wave DFT calculation with meta-GGA SCAN was carried out for a PBEsol-optimized structure of CuSiCl2.

Structure (POSCAR):
```
CuSiCl2
1.0
-3.402 3.402 3.111
3.402 -3.402 3.111
3.402 3.402 -3.111
Cu Si Cl
2 2 4
direct
0.000 0.000 0.000
0.750 0.250 0.500
0.250 0.750 0.500
0.500 0.500 0.000
0.083 0.625 0.958
0.375 0.333 0.458
0.667 0.125 0.042
0.875 0.917 0.542
```

Computed properties:
Symmetry = I-42d (122)
VASP energy = -80.8 eV for the cell shown
Formation energy from raw total energies = 196 meV/atom
Energy above the most stable polymorph in this dataset = 169 meV/atom
Crystal system = tetragonal



[20]
A plane-wave DFT calculation with meta-GGA SCAN was carried out for a PBEsol-optimized structure of KZr2Sb.

Structure (POSCAR):
```
KZr2Sb
1.0
4.940 -1.582 0.000
4.940 1.582 0.000
-0.674 0.000 7.497
K Zr Sb
1 2 1
direct
0.000 0.000 0.000
0.510 0.510 0.506
0.776 0.776 0.353
0.250 0.250 0.688
```

Computed properties:
Symmetry = Cm (8)
VASP energy = -106.5 eV for the cell shown
Formation energy from raw total energies = 127 meV/atom
Crystal system = monoclinic



[21]
A plane-wave DFT calculation with meta-GGA SCAN was carried out for a PBEsol-optimized structure of TiCdS2.

Structure (POSCAR):
```
TiCdS2
1.0
1.647 0.951 8.302
-1.647 0.951 8.302
0.000 -1.902 8.302
Ti Cd S
1 1 2
direct
0.000 0.000 0.000
0.500 0.500 0.500
0.392 0.392 0.392
0.608 0.608 0.608
```

Computed properties:
Symmetry = R-3m (166)
VASP energy = -70.1 eV for the cell shown
Formation energy from raw total energies = -1094 meV/atom
Crystal system = trigonal



[22]
A plane-wave DFT calculation with meta-GGA SCAN was carried out for a PBEsol-optimized structure of CoHg2Se.

Structure (POSCAR):
```
CoHg2Se
1.0
4.759 -1.511 0.000
4.759 1.511 0.000
-2.083 0.000 5.654
Co Hg Se
1 2 1
direct
0.000 0.000 0.000
0.252 0.252 0.918
0.455 0.455 0.614
0.594 0.594 0.286
```

Computed properties:
Symmetry = Cm (8)
VASP energy = -173.3 eV for the cell shown
Formation energy from raw total energies = 115 meV/atom
Crystal system = monoclinic



[23]
A plane-wave DFT calculation with meta-GGA SCAN was carried out for a PBEsol-optimized structure of SbPb3.

Structure (POSCAR):
```
SbPb3
1.0
3.985 0.000 0.000
0.000 3.985 0.000
0.000 0.000 7.289
Sb Pb
1 3
direct
0.000 0.000 0.000
0.000 0.000 0.500
0.500 0.500 0.235
0.500 0.500 0.765
```

Computed properties:
Symmetry = P4/mmm (123)
VASP energy = -264.3 eV for the cell shown
Formation energy from raw total energies = 74 meV/atom
Crystal system = tetragonal



[24]
A plane-wave DFT calculation with meta-GGA SCAN was carried out for a PBEsol-optimized structure of HfTiFe2H.

Structure (POSCAR):
```
HfTiFe2H
1.0
4.416 0.000 0.000
0.000 4.416 0.000
0.000 0.000 3.239
Hf Ti Fe H
1 1 2 1
direct
0.000 0.000 0.000
0.500 0.500 0.500
0.000 0.500 0.500
0.500 0.000 0.500
0.500 0.500 0.000
```

Computed properties:
Symmetry = P4/mmm (123)
VASP energy = -115.8 eV for the cell shown
Crystal system = tetragonal



[25]
A plane-wave DFT calculation with meta-GGA SCAN was carried out for a PBEsol-optimized structure of ScBeN2O.

Structure (POSCAR):
```
ScBeN2O
1.0
3.218 0.000 0.000
0.000 3.218 0.000
0.000 0.000 4.178
Sc Be N O
1 1 2 1
direct
0.000 0.000 0.000
0.500 0.500 0.500
0.000 0.500 0.500
0.500 0.000 0.500
0.500 0.500 0.000
```

Computed properties:
Symmetry = P4/mmm (123)
VASP energy = -47.1 eV for the cell shown
Formation energy from raw total energies = -736 meV/atom
Crystal system = tetragonal



[26]
A plane-wave DFT calculation with meta-GGA SCAN was carried out for a PBEsol-optimized structure of LaNiW2.

Structure (POSCAR):
```
LaNiW2
1.0
1.427 0.824 9.798
-1.427 0.824 9.798
0.000 -1.647 9.798
La Ni W
1 1 2
direct
0.000 0.000 0.000
0.245 0.245 0.245
0.513 0.513 0.513
0.765 0.765 0.765
```

Computed properties:
Symmetry = R3m (160)
VASP energy = -195.6 eV for the cell shown
Energy relative to the elements = 293 kJ/mol of formula units
Energy above the most stable polymorph in this dataset = 115 meV/atom
Crystal system = trigonal